# 1
Compound: Cd4RhAu
Source: the Alexandria database
Functional: GGA-PBE
Structure: relaxed

a b c (Å): 4.554 4.554 8.121
angles (deg): 106.57 106.57 59.77
Fractional coordinates of all 6 atoms:
Cd1 0.118 0.118 0.354
Cd2 0.371 0.371 0.113
Cd3 0.629 0.629 0.887
Cd4 0.882 0.882 0.646
Rh1 0.000 0.000 0.000
Au1 0.500 0.500 0.500

space-group type = No. 12
energy = -14.737 eV per cell
excess energy over the best structure of this formula in the dataset = 67 meV/atom
energy of formation = -43 kJ/mol of formula units
mass density = 9.06 Mg/m³
total moment = 0.0 μB/cell

=====

# 2
Compound: DyYEr6Tm2
Source: the Alexandria database
Functional: GGA-PBE
Structure: relaxed

a b c (Å): 8.690 8.690 9.440
angles (deg): 93.70 93.70 117.98
Fractional coordinates of all 20 atoms:
Dy1 0.091 0.909 0.750
Dy2 0.909 0.091 0.250
Y1 0.476 0.524 0.250
Y2 0.524 0.476 0.750
Er1 0.003 0.790 0.381
Er2 0.070 0.521 0.184
Er3 0.210 0.997 0.119
Er4 0.251 0.625 0.556
Er5 0.375 0.749 0.944
Er6 0.479 0.930 0.316
Er7 0.521 0.070 0.684
Er8 0.625 0.251 0.056
Er9 0.749 0.375 0.444
Er10 0.790 0.003 0.881
Er11 0.930 0.479 0.816
Er12 0.997 0.210 0.619
Tm1 0.195 0.304 0.956
Tm2 0.304 0.195 0.456
Tm3 0.696 0.805 0.544
Tm4 0.805 0.696 0.044

space-group type = No. 15
energy = -92.360 eV per cell
energy of formation = 116 kJ/mol of formula units
mass density = 8.47 Mg/m³
total moment = 0.0 μB/cell